Entry 1:
# Ba2Hg3Pb5 | Alexandria via LeMat-Bulk | PBE | relaxed
# formation energy: -273.7 kJ/mol of formula units
data_Ba2Hg3Pb5
_space_group_name_H-M_alt 'I b a m'
_space_group_IT_number 72
_space_group_name_Hall '-I 2 2c'
_cell_length_a 12.2692
_cell_length_b 14.9918
_cell_length_c 7.4452
_cell_angle_alpha 90.00
_cell_angle_beta 90.00
_cell_angle_gamma 90.00
loop_
_atom_site_label
_atom_site_type_symbol
_atom_site_fract_x
_atom_site_fract_y
_atom_site_fract_z
Ba1 Ba 0.2387 0.1232 0.0000
Hg1 Hg 0.0000 0.0000 0.2500
Hg2 Hg 0.1359 0.3810 0.0000
Pb1 Pb 0.0000 0.2595 0.2500
Pb2 Pb 0.0000 0.5000 0.2500
Pb3 Pb 0.1275 0.1204 0.5000

=====

Entry 2:
# BaHgPb | Alexandria via LeMat-Bulk | PBE | relaxed
# formation energy: -88.7 kJ/mol of formula units
data_BaHgPb
_space_group_name_H-M_alt 'I m m 2'
_space_group_IT_number 44
_cell_length_a 4.0044
_cell_length_b 5.0408
_cell_length_c 10.4973
_cell_angle_alpha 90.00
_cell_angle_beta 90.00
_cell_angle_gamma 90.00
loop_
_space_group_symop_operation_xyz
'x,y,z'
'-x,-y,z'
'-x,y,z'
'x,-y,z'
'x+1/2,y+1/2,z+1/2'
'-x+1/2,-y+1/2,z+1/2'
'-x+1/2,y+1/2,z+1/2'
'x+1/2,-y+1/2,z+1/2'
loop_
_atom_site_label
_atom_site_type_symbol
_atom_site_fract_x
_atom_site_fract_y
_atom_site_fract_z
Ba1 Ba 0.0000 0.0000 0.0000
Hg1 Hg 0.0000 0.0000 0.3297
Pb1 Pb 0.0000 0.0000 0.6660